First-principles (GGA-PBE) data for a relaxed ScCr2Co crystal, as listed in Alexandria.

Results
Volume, A^3/atom: 13.50

Lattice parameters (Å, degrees): 8.766 8.766 8.766 17.64 17.64 17.64
Site moments in Bohr magnetons follow the coordinates.
Atoms (fractional coordinates):
1 Cr 0.491 0.491 0.491  -0.05
2 Cr 0.009 0.009 0.009  -0.05
3 Sc 0.250 0.250 0.250  -0.01
4 Co 0.750 0.750 0.750  0.56

---

First-principles (GGA-PBE) data for a relaxed ScCrCo2 crystal, as listed in Alexandria.

Results
Volume, A^3/atom: 13.34

Lattice parameters (Å, degrees): 4.226 4.226 4.226 60.00 60.00 60.00
Site moments in Bohr magnetons follow the coordinates.
Atoms (fractional coordinates):
1 Co 0.250 0.250 0.250  0.71
2 Co 0.750 0.750 0.750  0.71
3 Sc 0.000 0.000 0.000  -0.22
4 Cr 0.500 0.500 0.500  2.08

---

First-principles (GGA-PBE) data for a relaxed ScCrCo2 crystal, as listed in Alexandria.

Results
Volume, A^3/atom: 13.51

Lattice parameters (Å, degrees): 8.479 8.479 8.479 18.57 18.57 18.57
Site moments in Bohr magnetons follow the coordinates.
Atoms (fractional coordinates):
1 Sc 0.749 0.749 0.749  -0.03
2 Co 0.993 0.993 0.993  1.40
3 Co 0.250 0.250 0.250  1.41
4 Cr 0.508 0.508 0.508  -0.76

---

First-principles (GGA-PBE) data for a relaxed ScCr2Co crystal, as listed in Alexandria.

Results
Volume, A^3/atom: 13.47

Lattice parameters (Å, degrees): 5.078 5.078 5.078 139.89 139.89 58.02
Atoms (fractional coordinates):
1 Cr 0.000 0.000 0.000
2 Cr 0.500 0.500 0.000
3 Co 0.750 0.250 0.500
4 Sc 0.250 0.750 0.500

---

First-principles (GGA-PBE) data for a relaxed Sc2Cr2Co crystal, as listed in Alexandria.

Results
Volume, A^3/atom: 15.94

Lattice parameters (Å, degrees): 6.022 6.022 4.397 90.00 90.00 90.00
Site moments in Bohr magnetons follow the coordinates.
Atoms (fractional coordinates):
1 Sc 0.676 0.824 0.500  0.02
2 Sc 0.824 0.324 0.500  0.01
3 Sc 0.176 0.676 0.500  0.01
4 Sc 0.324 0.176 0.500  0.02
5 Cr 0.628 0.128 0.000  0.68
6 Cr 0.372 0.872 0.000  0.68
7 Cr 0.872 0.628 0.000  0.68
8 Cr 0.128 0.372 0.000  0.68
9 Co 0.500 0.500 0.000  -0.01
10 Co 0.000 0.000 0.000  -0.03

---

First-principles (GGA-PBE) data for a relaxed ScCrCo crystal, as listed in Alexandria.

Results
Volume, A^3/atom: 15.48

Lattice parameters (Å, degrees): 4.104 4.104 3.184 90.00 90.00 120.00
Site moments in Bohr magnetons follow the coordinates.
Atoms (fractional coordinates):
1 Cr 0.667 0.333 0.167  2.15
2 Co 0.000 0.000 0.167  0.58
3 Sc 0.333 0.667 0.667  0.00

---

First-principles (GGA-PBE) data for a relaxed ScCr2Co crystal, as listed in Alexandria.

Results
Volume, A^3/atom: 14.68

Lattice parameters (Å, degrees): 3.135 3.137 5.973 90.00 90.00 90.00
Site moments in Bohr magnetons follow the coordinates.
Atoms (fractional coordinates):
1 Cr 0.000 0.000 0.922  0.28
2 Cr 0.000 0.000 0.578  0.28
3 Co 0.500 0.500 0.750  1.17
4 Sc 0.500 0.500 0.250  0.11

---

First-principles (GGA-PBE) data for a relaxed ScCrCo crystal, as listed in Alexandria.

Results
Volume, A^3/atom: 14.60

Lattice parameters (Å, degrees): 2.879 2.879 6.099 90.00 90.00 120.00
Atoms (fractional coordinates):
1 Sc 0.333 0.667 0.669
2 Co 0.000 0.000 0.031
3 Cr 0.667 0.333 0.300

---

no.,ΔE_f (eV per atom),raw total energy (eV/atom)
1,0.52,-7.65
2,-0.02,-7.56
3,0.40,-7.14
4,0.24,-7.93
5,0.21,-7.59
6,0.18,-7.51
7,0.34,-7.83
8,0.41,-7.28